(1)
Compound: AgAsOsO
Source: OQMD via LeMat-Bulk
Functional: GGA-PBE
Structure: optimized geometry

```
AgAsOsO
1.0
3.755 0.000 0.000
0.000 6.236 0.000
0.000 0.000 6.087
Os O As Ag
2 2 2 2
Cartesian
1.877 1.720 5.785
1.877 4.517 2.741
0.000 1.610 5.698
0.000 4.627 2.655
1.877 2.195 2.061
1.877 4.041 5.104
0.000 0.858 3.221
0.000 5.378 0.177
```

Values from the calculation:
Energy above the most stable polymorph in this dataset (meV/atom): 0.0
Theoretical density (g cm⁻³): 9.1
VASP energy (eV per atom): -5.87
Space-group type: Pmc2_1 (26)


(2)
Compound: DyAgSnS3
Source: OQMD via LeMat-Bulk
Functional: GGA-PBE
Structure: optimized geometry

```
DyAgSnS3
1.0
-3.477 6.564 -0.573
-2.280 -0.931 3.167
7.513 1.604 5.881
Ag Dy S Sn
2 2 6 2
Cartesian
-2.026 3.928 0.967
3.782 3.309 7.508
3.592 2.178 4.497
-1.836 5.059 3.978
-4.140 4.684 2.209
1.928 0.763 2.884
-0.173 6.473 5.591
1.738 3.367 6.054
5.896 2.553 6.266
0.018 3.869 2.421
2.716 6.302 5.079
-0.960 0.935 3.396
```

Values from the calculation:
Energy above the most stable polymorph in this dataset (meV/atom): 42.1
Theoretical density (g cm⁻³): 5.8
VASP energy (eV per atom): -4.92
Space-group type: P2_1/m (11)